# 1
The following is a DFT calculation (PBE) of an optimized crystal structure of TbHo3Th5.

a = 9.1729 Å, b = 9.1729 Å, c = 14.2446 Å
α = 90.00°, β = 90.00°, γ = 90.00°
With the nearest neighbours (Å) after each atom.
Space group I4/mcm (No. 140)
Asymmetric unit:
Tb 0.0000 0.5000 0.2500  4 Th 3.21
Ho 0.0000 0.0000 0.2500  10 Th 3.56-3.73
Ho 0.1045 0.3955 0.0000  1 Ho 2.71, 2 Th 3.04
Th 0.0000 0.0000 0.0000  6 Ho 3.56-3.75, 8 Th 3.75
Th 0.2073 0.2927 0.3734  1 Ho 3.04, 1 Tb 3.21

## Properties
As for the formation energy: 448 meV per atom. The calculation puts the density of states at the Fermi level at 64.010 states/eV per cell.


# 2
The following is a DFT calculation (PBE) of an optimized crystal structure of Tb4Ho5Th3.

a = 17.6460 Å, b = 5.7091 Å, c = 8.6152 Å
α = 90.00°, β = 114.82°, γ = 90.00°
With the nearest neighbours (Å) after each atom.
Space group C2/m (No. 12)
Asymmetric unit:
Tb 0.0409 0.0000 0.2011  1 Ho 2.95, 2 Tb 3.14-3.29
Tb 0.2177 0.0000 0.1578  3 Th 3.28-3.43, 1 Tb 3.29, 3 Ho 3.50-3.57
Ho 0.0000 0.0000 0.5000  4 Th 2.85-2.99, 2 Tb 2.95
Ho 0.0962 0.5000 0.9486  2 Th 3.51-3.71, 2 Ho 3.54-3.85, 5 Tb 3.57-3.76
Ho 0.1662 0.5000 0.3987  2 Th 3.33-3.39, 3 Tb 3.50-3.57, 1 Ho 3.54
Th 0.0000 0.5000 0.5000  2 Ho 2.85
Th 0.1820 0.0000 0.7352  2 Ho 2.99-3.33, 2 Tb 3.28

## Properties
As for the formation energy: 365 meV per atom. The calculation puts the density of states at the Fermi level at 37.309 states/eV per cell.


# 3
The following is a DFT calculation (PBE) of an optimized crystal structure of Tb2HoTh2.

a = 3.4784 Å, b = 16.7814 Å, c = 23.1055 Å
α = 90.00°, β = 90.00°, γ = 90.00°
With the nearest neighbours (Å) after each atom.
Space group Fddd (No. 70, origin choice 2)
Asymmetric unit:
Tb 0.1250 0.2948 0.1250  4 Tb 3.20-3.48, 2 Th 3.26, 2 Ho 3.34
Ho 0.1250 0.1250 0.6250  4 Tb 3.34, 2 Ho 3.48, 4 Th 3.60
Th 0.0000 0.0000 0.5000  2 Tb 3.26, 2 Th 3.48, 2 Ho 3.60

## Properties
As for the energy above the most stable polymorph in this dataset: 230.4 meV per atom. As for the formation energy: 446 meV per atom. The calculation puts the density of states at the Fermi level at 64.062 states/eV per cell.


# 4
The following is a DFT calculation (PBE) of an optimized crystal structure of Tb5Ho2Th4.

a = 3.4973 Å, b = 9.3536 Å, c = 23.0040 Å
α = 90.00°, β = 90.00°, γ = 90.00°
With the nearest neighbours (Å) after each atom.
Space group Immm (No. 71)
Asymmetric unit:
Tb 0.0000 0.0000 0.0000  4 Th 3.28, 2 Tb 3.50
Tb 0.0000 0.2929 0.3489  3 Ho 3.36-3.72, 2 Tb 3.50, 3 Th 3.52-3.57
Ho 0.0000 0.5000 0.2296  1 Th 3.15, 2 Tb 3.36, 2 Ho 3.50
Th 0.0000 0.2039 0.5000  4 Tb 3.28-3.57, 6 Th 3.35-3.50
Th 0.0000 0.5000 0.0928  1 Ho 3.15, 6 Th 3.35-3.50, 4 Tb 3.52

## Properties
As for the energy above the most stable polymorph in this dataset: 254.7 meV per atom. As for the formation energy: 279 meV per atom. The calculation puts the density of states at the Fermi level at 31.780 states/eV per cell.


# 5
The following is a DFT calculation (PBE) of an optimized crystal structure of TbHo2Th5.

a = 7.1325 Å, b = 14.2977 Å, c = 5.0292 Å
α = 90.00°, β = 90.00°, γ = 90.00°
With the nearest neighbours (Å) after each atom.
Space group Pbam (No. 55)
Asymmetric unit:
Tb 0.0000 0.0000 0.0000  8 Th 3.57-3.59, 4 Ho 3.57
Ho 0.2494 0.3741 0.5000  10 Th 3.53-3.62, 2 Tb 3.57
Th 0.0000 0.5000 0.0000  6 Th 3.56, 2 Tb 3.57, 4 Ho 3.57
Th 0.0010 0.2507 0.0000  7 Th 3.53-3.57, 4 Ho 3.55-3.57, 1 Tb 3.58
Th 0.2456 0.6271 0.5000  4 Ho 3.53-3.62, 6 Th 3.53-3.57, 2 Tb 3.59

## Properties
As for the formation energy: 54 meV per atom. The calculation puts the density of states at the Fermi level at 25.675 states/eV per cell.


# 6
The following is a DFT calculation (PBE) of an optimized crystal structure of Tb4Ho5Th.

a = 17.4706 Å, b = 3.5580 Å, c = 11.0677 Å
α = 90.00°, β = 101.47°, γ = 90.00°
With the nearest neighbours (Å) after each atom.
Space group C2/m (No. 12)
Asymmetric unit:
Tb 0.0173 0.0000 0.2582  4 Ho 3.28-3.48, 2 Th 3.33, 4 Tb 3.41-3.56
Tb 0.1778 0.5000 0.2228  4 Tb 3.41-3.56, 6 Ho 3.53-3.74, 1 Th 3.56
Ho 0.0000 0.5000 0.5000  4 Tb 3.28, 6 Ho 3.41-3.56
Ho 0.1625 0.0000 0.9315  4 Tb 3.41-3.64, 2 Th 3.56, 4 Ho 3.56-3.60
Ho 0.1682 0.0000 0.5163  6 Ho 3.41-3.56, 4 Tb 3.48-3.74
Th 0.0000 0.5000 0.0000  6 Tb 3.33-3.56, 4 Ho 3.56, 2 Th 3.56

## Properties
As for the energy above the most stable polymorph in this dataset: 0.0 meV per atom. As for the formation energy: 226 meV per atom. The calculation puts the density of states at the Fermi level at 28.936 states/eV per cell.


# 7
The following is a DFT calculation (PBE) of an optimized crystal structure of Tb7HoTh2.

a = 8.7139 Å, b = 16.6335 Å, c = 5.5138 Å
α = 90.00°, β = 90.00°, γ = 90.00°
With the nearest neighbours (Å) after each atom.
Space group Cmmm (No. 65)
Asymmetric unit:
Tb 0.0000 0.0000 0.0000  4 Tb 3.36, 2 Th 3.41
Tb 0.0000 0.2905 0.5000  2 Th 3.10
Tb 0.1763 0.3898 0.0000  2 Tb 3.07-3.36, 2 Th 3.23-3.44
Ho 0.0000 0.5000 0.5000  10 Tb 3.49-3.65
Th 0.0000 0.2050 0.0000  7 Tb 3.10-3.44

## Properties
As for the energy above the most stable polymorph in this dataset: 305.6 meV per atom. As for the formation energy: 762 meV per atom. The calculation puts the density of states at the Fermi level at 29.965 states/eV per cell.


# 8
The following is a DFT calculation (PBE) of an optimized crystal structure of TbHoTh2.

a = 7.9906 Å, b = 7.9906 Å, c = 7.9906 Å
α = 90.00°, β = 90.00°, γ = 90.00°
With the nearest neighbours (Å) after each atom.
Space group Fm-3m (No. 225)
Asymmetric unit:
Tb 0.0000 0.0000 0.0000  8 Th 3.46
Ho 0.0000 0.0000 0.5000  8 Th 3.46
Th 0.2500 0.2500 0.2500  4 Tb 3.46, 4 Ho 3.46

## Properties
As for the energy above the most stable polymorph in this dataset: 116.4 meV per atom. As for the formation energy: 146 meV per atom. The calculation puts the density of states at the Fermi level at 23.552 states/eV per cell.